No. 1
DFT (GGA-PBE) results for VSiNi after structural relaxation.

abc: 4.7341 4.7341 7.3499
angles: 90.00 90.00 119.45
Closest atoms and distances in Å follow each position.
Fractional positions:
1 Ni 0.6499 0.8382 0.0000  2 Si 2.29-2.44, 4 Ni 2.33-2.44
2 Si 0.3460 0.1690 0.5000  2 Ni 2.26, 4 Si 2.29-2.46
3 Ni 0.0036 0.9964 0.2601  4 Si 2.26-2.32, 2 Ni 2.41
4 Si 0.1642 0.8358 0.0000  6 Ni 2.29-2.44
5 Si 0.8310 0.6540 0.5000  2 Ni 2.26, 4 Si 2.29-2.46
6 Ni 0.0036 0.9964 0.7399  4 Si 2.26-2.32, 2 Ni 2.41
7 Si 0.8306 0.1694 0.5000  2 Ni 2.26, 4 Si 2.29-2.44
8 Ni 0.1618 0.3501 0.0000  2 Si 2.29-2.44, 4 Ni 2.33-2.44
9 V 0.3377 0.6623 0.6774  2 V 2.61-2.87, 7 Si 2.69-2.76, 5 Ni 2.70-2.78
10 V 0.6669 0.3331 0.8132  5 Si 2.66-2.75, 7 Ni 2.68-2.80, 4 V 2.75-2.94
11 V 0.6669 0.3331 0.1868  5 Si 2.66-2.75, 7 Ni 2.68-2.80, 4 V 2.75-2.94
12 V 0.3377 0.6623 0.3226  2 V 2.61-2.87, 7 Si 2.69-2.76, 5 Ni 2.70-2.78

Output
V: 143.4 Å³ per cell
VASP energy: -7.202 eV/atom
space group: Amm2 (38)
formation energy (no corrections): -0.428 eV/atom

=====

No. 2
DFT (GGA-PBE) results for PaNi2Ge2P after structural relaxation.

abc: 4.2836 4.2836 5.4370
angles: 90.00 90.00 90.00
Closest atoms and distances in Å follow each position.
Fractional positions:
1 Ge 0.5000 0.5000 0.7265  1 Ge 2.46, 4 Ni 2.61
2 Pa 0.0000 0.0000 0.5000  2 P 2.72
3 Ni 0.5000 0.0000 0.0000  2 P 2.14
4 Ni 0.0000 0.5000 0.0000  2 P 2.14
5 P 0.0000 0.0000 0.0000  4 Ni 2.14
6 Ge 0.5000 0.5000 0.2735  1 Ge 2.46, 4 Ni 2.61

Output
formation enthalpy at 0 K: -224.2 kJ/mol of formula units
V: 99.8 Å³ per cell
VASP energy: -6.338 eV/atom
space group: P4/mmm (123)